BaCaCoF7 | PBE with a Hubbard U | relaxed

The structure in POSCAR format:
```
BaCaCoF7
1.0
10.969 0.000 0.000
0.000 5.694 -0.021
0.000 0.461 9.469
F Ca Ba Co
28 4 4 4
direct
0.985 0.645 0.387 F
0.015 0.355 0.613 F
0.235 0.281 0.532 F
0.704 0.994 0.225 F
0.296 0.006 0.775 F
0.515 0.645 0.887 F
0.265 0.281 0.032 F
0.892 0.086 0.401 F
0.738 0.525 0.724 F
0.478 0.385 0.643 F
0.735 0.719 0.968 F
0.485 0.355 0.113 F
0.062 0.103 0.859 F
0.108 0.914 0.599 F
0.204 0.006 0.275 F
0.762 0.525 0.224 F
0.608 0.086 0.901 F
0.438 0.103 0.359 F
0.765 0.719 0.468 F
0.522 0.615 0.357 F
0.978 0.615 0.857 F
0.562 0.897 0.641 F
0.938 0.897 0.141 F
0.392 0.914 0.099 F
0.262 0.475 0.276 F
0.238 0.475 0.776 F
0.796 0.994 0.725 F
0.022 0.385 0.143 F
0.571 0.721 0.135 Ca
0.929 0.721 0.635 Ca
0.071 0.279 0.365 Ca
0.429 0.279 0.865 Ca
0.656 0.276 0.473 Ba
0.156 0.724 0.027 Ba
0.844 0.276 0.973 Ba
0.344 0.724 0.527 Ba
0.844 0.804 0.295 Co
0.656 0.804 0.795 Co
0.344 0.196 0.205 Co
0.156 0.196 0.705 Co
```

Values from the calculation:
Electronic total energy = -5.35 eV per atom
Total magnetization = 4.12 μB/f.u.
Crystal system = monoclinic
Fermi-level density of states = 0.0 states/eV/cell